HfGa2Au after structural relaxation. Source: the Alexandria database, functional PBE-GGA.

Lattice parameters (Å, degrees): 4.6083 4.6083 18.3727 90.00 90.00 120.00
With the nearest neighbours (Å) after each atom.
Fractional coordinates of all 12 atoms:
1 Hf 0.0000 0.0000 0.0000  6 Ga 2.73
2 Hf 0.3333 0.6667 0.6667  6 Ga 2.73
3 Hf 0.6667 0.3333 0.3333  6 Ga 2.73
4 Ga 0.0000 0.0000 0.3658  1 Au 2.47, 3 Hf 2.73
5 Ga 0.0000 0.0000 0.6342  1 Au 2.47, 3 Hf 2.73
6 Ga 0.3333 0.6667 0.0325  1 Au 2.47, 3 Hf 2.73
7 Ga 0.3333 0.6667 0.3009  1 Au 2.47, 3 Hf 2.73
8 Ga 0.6667 0.3333 0.6991  1 Au 2.47, 3 Hf 2.73
9 Ga 0.6667 0.3333 0.9675  1 Au 2.47, 3 Hf 2.73
10 Au 0.0000 0.0000 0.5000  2 Ga 2.47
11 Au 0.3333 0.6667 0.1667  2 Ga 2.47
12 Au 0.6667 0.3333 0.8333  2 Ga 2.47

Output
space group: No. 166
calculated volume: 112.6 Å³/f.u.
ΔE_f: 506 meV/atom

---

HfGaAu4 after structural relaxation. Source: the Alexandria database, functional PBE-GGA.

Lattice parameters (Å, degrees): 7.0337 7.0337 8.8121 127.86 127.86 41.49
With the nearest neighbours (Å) after each atom.
Fractional coordinates of all 12 atoms:
1 Hf 0.2500 0.7500 0.7500  10 Au 2.86-2.95
2 Hf 0.7500 0.2500 0.2500  10 Au 2.86-2.95
3 Ga 0.0000 0.5000 0.0000  10 Au 2.82-2.97
4 Ga 0.5000 0.0000 0.5000  10 Au 2.82-2.97
5 Au 0.0031 0.4923 0.6603  3 Ga 2.85-2.97, 2 Hf 2.86-2.87, 5 Au 2.87-2.93
6 Au 0.2460 0.7458 0.0806  2 Ga 2.82-2.94, 3 Hf 2.89-2.95, 5 Au 2.90-2.92
7 Au 0.2542 0.7540 0.4194  2 Ga 2.82-2.94, 3 Hf 2.89-2.95, 5 Au 2.90-2.92
8 Au 0.4923 0.0031 0.1603  3 Ga 2.85-2.97, 2 Hf 2.86-2.87, 5 Au 2.87-2.93
9 Au 0.5077 0.9969 0.8397  3 Ga 2.85-2.97, 2 Hf 2.86-2.87, 5 Au 2.87-2.93
10 Au 0.7458 0.2460 0.5806  2 Ga 2.82-2.94, 3 Hf 2.89-2.95, 5 Au 2.90-2.92
11 Au 0.7540 0.2542 0.9194  2 Ga 2.82-2.94, 3 Hf 2.89-2.95, 5 Au 2.90-2.92
12 Au 0.9969 0.5077 0.3397  3 Ga 2.85-2.97, 2 Hf 2.86-2.87, 5 Au 2.87-2.93

Output
space group: No. 15
calculated volume: 109.0 Å³/f.u.
ΔE_f: -359 meV/atom

---

HfGaAu3 after structural relaxation. Source: the Alexandria database, functional PBE-GGA.

Lattice parameters (Å, degrees): 5.2714 5.2714 5.2714 90.00 90.00 90.00
With the nearest neighbours (Å) after each atom.
Fractional coordinates of all 5 atoms:
1 Hf 0.0000 0.0000 0.0000  6 Au 2.64
2 Ga 0.5000 0.5000 0.5000  12 Au 3.73
3 Au 0.0000 0.0000 0.5000  2 Hf 2.64
4 Au 0.0000 0.5000 0.0000  2 Hf 2.64
5 Au 0.5000 0.0000 0.0000  2 Hf 2.64

Output
space group: No. 221
calculated volume: 146.5 Å³/f.u.
ΔE_f: 526 meV/atom

---

Hf3Ga4Au2 after structural relaxation. Source: the Alexandria database, functional PBE-GGA.

Lattice parameters (Å, degrees): 5.4382 5.4382 8.3010 115.63 115.63 48.30
With the nearest neighbours (Å) after each atom.
Fractional coordinates of all 9 atoms:
1 Hf 0.0000 0.0000 0.0000  8 Ga 2.97-3.05, 4 Au 3.03, 2 Hf 3.16
2 Hf 0.3379 0.3379 0.3272  8 Ga 2.92-3.05, 4 Au 2.97-3.07, 2 Hf 3.14-3.16
3 Hf 0.6621 0.6621 0.6728  8 Ga 2.92-3.05, 4 Au 2.97-3.07, 2 Hf 3.14-3.16
4 Ga 0.0621 0.0621 0.3967  1 Ga 2.54, 2 Au 2.58
5 Ga 0.2752 0.2752 0.9459  2 Ga 2.54, 1 Au 2.57
6 Ga 0.7248 0.7248 0.0541  2 Ga 2.54, 1 Au 2.57
7 Ga 0.9379 0.9379 0.6033  1 Ga 2.54, 2 Au 2.58
8 Au 0.3829 0.3829 0.7193  3 Ga 2.57-2.58
9 Au 0.6171 0.6171 0.2807  3 Ga 2.57-2.58

Output
space group: No. 12
calculated volume: 161.4 Å³/f.u.
ΔE_f: -452 meV/atom

---

Hf3Ga3Au after structural relaxation. Source: the Alexandria database, functional PBE-GGA.

Lattice parameters (Å, degrees): 5.6518 5.6518 14.6631 106.23 106.23 35.66
With the nearest neighbours (Å) after each atom.
Fractional coordinates of all 14 atoms:
1 Hf 0.0170 0.0170 0.1430  6 Ga 2.80-3.00, 3 Au 2.97-2.98
2 Hf 0.1325 0.1325 0.4281  7 Ga 2.79-3.07
3 Hf 0.2478 0.2478 0.7176  5 Ga 2.83-3.08, 2 Au 2.93
4 Hf 0.7522 0.7522 0.2824  5 Ga 2.83-3.08, 2 Au 2.93
5 Hf 0.8675 0.8675 0.5719  7 Ga 2.79-3.07
6 Hf 0.9830 0.9830 0.8570  6 Ga 2.80-3.00, 3 Au 2.97-2.98
7 Ga 0.3742 0.3742 0.9790  1 Ga 2.59, 3 Au 2.64-2.66
8 Ga 0.3962 0.3962 0.4280  2 Ga 2.57-2.58, 5 Hf 2.81-2.84
9 Ga 0.4905 0.4905 0.2860  1 Ga 2.57, 1 Au 2.65, 5 Hf 2.79-2.83
10 Ga 0.5095 0.5095 0.7140  1 Ga 2.57, 1 Au 2.65, 5 Hf 2.79-2.83
11 Ga 0.6038 0.6038 0.5720  2 Ga 2.57-2.58, 5 Hf 2.81-2.84
12 Ga 0.6258 0.6258 0.0210  1 Ga 2.59, 3 Au 2.64-2.66
13 Au 0.2872 0.2872 0.1308  4 Ga 2.64-2.66, 2 Hf 2.93
14 Au 0.7128 0.7128 0.8692  4 Ga 2.64-2.66, 2 Hf 2.93

Output
space group: No. 12
calculated volume: 130.5 Å³/f.u.
ΔE_f: -454 meV/atom

---

HfGaAu3 after structural relaxation. Source: the Alexandria database, functional PBE-GGA.

Lattice parameters (Å, degrees): 6.7513 6.7513 6.7513 89.93 110.26 130.91
With the nearest neighbours (Å) after each atom.
Fractional coordinates of all 10 atoms:
1 Hf 0.0875 0.2500 0.3375  7 Au 2.83-2.88, 2 Ga 2.96
2 Hf 0.9125 0.7500 0.6625  7 Au 2.83-2.88, 2 Ga 2.96
3 Ga 0.9995 0.4997 0.9998  4 Au 2.63-2.64, 2 Ga 2.80
4 Ga 0.4999 0.9997 0.0002  4 Au 2.63-2.64, 2 Ga 2.80
5 Au 0.0029 0.2251 0.7257  1 Ga 2.64, 2 Au 2.80, 2 Hf 2.85
6 Au 0.0029 0.7772 0.2778  1 Ga 2.64, 2 Au 2.80, 2 Hf 2.85
7 Au 0.4612 0.2504 0.7108  2 Ga 2.63-2.64, 3 Hf 2.83-2.88
8 Au 0.4994 0.2772 0.2743  1 Ga 2.64, 2 Au 2.80, 2 Hf 2.85
9 Au 0.4994 0.7251 0.7222  1 Ga 2.64, 2 Au 2.80, 2 Hf 2.85
10 Au 0.5397 0.7504 0.2892  2 Ga 2.63-2.64, 3 Hf 2.83-2.88

Output
space group: No. 46
calculated volume: 103.4 Å³/f.u.
ΔE_f: -152 meV/atom

---

HfGa2Au8 after structural relaxation. Source: the Alexandria database, functional PBE-GGA.

Lattice parameters (Å, degrees): 7.8233 7.8233 4.1982 100.52 100.52 118.23
With the nearest neighbours (Å) after each atom.
Fractional coordinates of all 11 atoms:
1 Hf 0.0000 0.0000 0.0000  12 Au 2.78-3.09
2 Ga 0.3299 0.6701 0.5000  6 Au 2.56-2.73
3 Ga 0.6701 0.3299 0.5000  6 Au 2.56-2.73
4 Au 0.0775 0.3122 0.6051  1 Ga 2.73, 4 Au 2.78-3.00, 1 Hf 2.93
5 Au 0.2212 0.7788 0.0000  2 Ga 2.56, 2 Au 2.83
6 Au 0.3122 0.0775 0.6051  1 Ga 2.73, 4 Au 2.78-3.00, 1 Hf 2.93
7 Au 0.3678 0.3678 0.1728  2 Ga 2.68, 1 Hf 2.78, 4 Au 2.78-2.97
8 Au 0.6322 0.6322 0.8272  2 Ga 2.68, 1 Hf 2.78, 4 Au 2.78-2.97
9 Au 0.6878 0.9225 0.3949  1 Ga 2.73, 4 Au 2.78-3.00, 1 Hf 2.93
10 Au 0.7788 0.2212 0.0000  2 Ga 2.56, 2 Au 2.83
11 Au 0.9225 0.6878 0.3949  1 Ga 2.73, 4 Au 2.78-3.00, 1 Hf 2.93

Output
space group: No. 12
calculated volume: 211.6 Å³/f.u.
ΔE_f: -165 meV/atom

---

Hf6Ga5Au after structural relaxation. Source: the Alexandria database, functional PBE-GGA.

Lattice parameters (Å, degrees): 7.8770 7.8770 7.8770 148.24 118.50 70.88
With the nearest neighbours (Å) after each atom.
Fractional coordinates of all 12 atoms:
1 Hf 0.0780 0.3319 0.7460  7 Ga 2.92-2.97, 1 Au 2.97, 4 Hf 3.01-3.05
2 Hf 0.2415 0.0000 0.2415  6 Ga 2.90-2.94, 2 Au 3.00, 4 Hf 3.05
3 Hf 0.4141 0.6681 0.7460  7 Ga 2.92-2.97, 1 Au 2.97, 4 Hf 3.01-3.05
4 Hf 0.5859 0.3319 0.2540  7 Ga 2.92-2.97, 1 Au 2.97, 4 Hf 3.01-3.05
5 Hf 0.7585 0.0000 0.7585  6 Ga 2.90-2.94, 2 Au 3.00, 4 Hf 3.05
6 Hf 0.9220 0.6681 0.2540  7 Ga 2.92-2.97, 1 Au 2.97, 4 Hf 3.01-3.05
7 Ga 0.0000 0.5000 0.5000  8 Hf 2.90-2.93, 4 Ga 3.06
8 Ga 0.1691 0.1691 0.0000  8 Hf 2.91-2.93, 4 Ga 3.06
9 Ga 0.3381 0.8381 0.5000  8 Hf 2.94-2.97, 2 Au 2.99, 2 Ga 3.06
10 Ga 0.6619 0.1619 0.5000  8 Hf 2.94-2.97, 2 Au 2.99, 2 Ga 3.06
11 Ga 0.8309 0.8309 0.0000  8 Hf 2.91-2.93, 4 Ga 3.06
12 Au 0.5000 0.5000 0.0000  8 Hf 2.97-3.00, 4 Ga 2.99

Output
space group: No. 71
calculated volume: 222.8 Å³/f.u.
ΔE_f: -410 meV/atom

---

HfGaAu3 after structural relaxation. Source: the Alexandria database, functional PBE-GGA.

Lattice parameters (Å, degrees): 4.7547 4.7547 4.7547 90.00 90.00 90.00
With the nearest neighbours (Å) after each atom.
Fractional coordinates of all 5 atoms:
1 Hf 0.0000 0.0000 0.0000  12 Au 3.36
2 Ga 0.5000 0.5000 0.5000  6 Au 2.38
3 Au 0.0000 0.5000 0.5000  2 Ga 2.38
4 Au 0.5000 0.0000 0.5000  2 Ga 2.38
5 Au 0.5000 0.5000 0.0000  2 Ga 2.38

Output
space group: No. 221
calculated volume: 107.5 Å³/f.u.
ΔE_f: 364 meV/atom

---

Hf4Ga2Au5 after structural relaxation. Source: the Alexandria database, functional PBE-GGA.

Lattice parameters (Å, degrees): 7.1420 3.1508 9.2590 90.00 94.27 90.00
With the nearest neighbours (Å) after each atom.
Fractional coordinates of all 11 atoms:
1 Hf 0.1769 0.0000 0.3827  2 Ga 2.86, 8 Au 2.93-3.09, 2 Hf 3.15
2 Hf 0.2723 0.0000 0.9406  4 Ga 2.88-2.91, 6 Au 2.94-3.11, 2 Hf 3.15
3 Hf 0.7277 0.0000 0.0594  4 Ga 2.88-2.91, 6 Au 2.94-3.11, 2 Hf 3.15
4 Hf 0.8231 0.0000 0.6173  2 Ga 2.86, 8 Au 2.93-3.09, 2 Hf 3.15
5 Ga 0.0589 0.5000 0.1346  1 Ga 2.57, 2 Au 2.66-2.71, 2 Hf 2.86
6 Ga 0.9411 0.5000 0.8654  1 Ga 2.57, 2 Au 2.66-2.71, 2 Hf 2.86
7 Au 0.1756 0.5000 0.6555  1 Ga 2.66, 1 Au 2.82, 2 Hf 2.97
8 Au 0.4364 0.5000 0.1904  1 Ga 2.71, 2 Au 2.87-3.02, 4 Hf 2.94-2.97
9 Au 0.5000 0.5000 0.5000  6 Au 2.82-3.15, 4 Hf 2.93
10 Au 0.5636 0.5000 0.8096  1 Ga 2.71, 2 Au 2.87-3.02, 4 Hf 2.94-2.97
11 Au 0.8244 0.5000 0.3445  1 Ga 2.66, 1 Au 2.82, 2 Hf 2.97

Output
space group: No. 10
calculated volume: 207.8 Å³/f.u.
ΔE_f: -409 meV/atom

---

Hf8Ga3Au2 after structural relaxation. Source: the Alexandria database, functional PBE-GGA.

Lattice parameters (Å, degrees): 7.9169 7.9169 4.7059 90.00 90.00 108.31
With the nearest neighbours (Å) after each atom.
Fractional coordinates of all 13 atoms:
1 Hf 0.1160 0.3627 0.5000  2 Au 2.79-2.88, 3 Ga 2.84-2.89
2 Hf 0.1203 0.8797 0.0000  2 Ga 2.77, 2 Au 2.92, 1 Hf 3.09
3 Hf 0.3627 0.1160 0.5000  2 Au 2.79-2.88, 3 Ga 2.84-2.89
4 Hf 0.3700 0.6300 0.0000  2 Au 2.78, 4 Ga 2.87-2.88
5 Hf 0.6300 0.3700 0.0000  2 Au 2.78, 4 Ga 2.87-2.88
6 Hf 0.6373 0.8840 0.5000  2 Au 2.79-2.88, 3 Ga 2.84-2.89
7 Hf 0.8797 0.1203 0.0000  2 Ga 2.77, 2 Au 2.92, 1 Hf 3.09
8 Hf 0.8840 0.6373 0.5000  2 Au 2.79-2.88, 3 Ga 2.84-2.89
9 Ga 0.2481 0.2481 0.0000  8 Hf 2.77-2.87
10 Ga 0.5000 0.5000 0.5000  8 Hf 2.88-2.89, 2 Au 3.15
11 Ga 0.7519 0.7519 0.0000  8 Hf 2.77-2.87
12 Au 0.2545 0.7455 0.5000  8 Hf 2.78-2.92
13 Au 0.7455 0.2545 0.5000  8 Hf 2.78-2.92

Output
space group: No. 65
calculated volume: 280.0 Å³/f.u.
ΔE_f: -110 meV/atom

---

LiHfGaAu after structural relaxation. Source: the Alexandria database, functional PBE-GGA.

Lattice parameters (Å, degrees): 6.5272 6.5272 6.5272 90.00 90.00 90.00
With the nearest neighbours (Å) after each atom.
Fractional coordinates of all 16 atoms:
1 Li 0.0000 0.0000 0.0000  4 Au 2.83, 4 Ga 2.83
2 Li 0.0000 0.5000 0.5000  4 Ga 2.83, 4 Au 2.83
3 Li 0.5000 0.0000 0.5000  4 Ga 2.83, 4 Au 2.83
4 Li 0.5000 0.5000 0.0000  4 Ga 2.83, 4 Au 2.83
5 Hf 0.0000 0.0000 0.5000  4 Ga 2.83, 4 Au 2.83
6 Hf 0.0000 0.5000 0.0000  4 Ga 2.83, 4 Au 2.83
7 Hf 0.5000 0.0000 0.0000  4 Ga 2.83, 4 Au 2.83
8 Hf 0.5000 0.5000 0.5000  4 Ga 2.83, 4 Au 2.83
9 Ga 0.2500 0.2500 0.7500  4 Hf 2.83, 4 Li 2.83
10 Ga 0.2500 0.7500 0.2500  4 Hf 2.83, 4 Li 2.83
11 Ga 0.7500 0.2500 0.2500  4 Hf 2.83, 4 Li 2.83
12 Ga 0.7500 0.7500 0.7500  4 Hf 2.83, 4 Li 2.83
13 Au 0.2500 0.2500 0.2500  4 Hf 2.83, 4 Li 2.83
14 Au 0.2500 0.7500 0.7500  4 Hf 2.83, 4 Li 2.83
15 Au 0.7500 0.2500 0.7500  4 Hf 2.83, 4 Li 2.83
16 Au 0.7500 0.7500 0.2500  4 Hf 2.83, 4 Li 2.83

Output
space group: No. 216
calculated volume: 69.5 Å³/f.u.
ΔE_f: -443 meV/atom

---

| no. | E_tot (eV/atom) |
| --- | --- |
| 1 | -4.3153 |
| 2 | -4.7072 |
| 3 | -4.0368 |
| 4 | -5.8431 |
| 5 | -6.4853 |
| 6 | -4.7140 |
| 7 | -4.0034 |
| 8 | -6.9207 |
| 9 | -4.1980 |
| 10 | -6.0689 |
| 11 | -7.4380 |
| 12 | -4.9858 |